{
  "formula": "NaPd3Cl",
  "functional": "PBE-GGA",
  "state": "relaxed",
  "relative_energy_mev_per_atom": 910.9,
  "m_tot_mub_per_cell": 0.00,
  "final_energy_ev_per_atom": -2.717,
  "raw_formation_energy_ev_per_fu": 5.16,
  "lattice": [[-1.254, 4.525, 1.084], [-2.177, 0.422, -4.278], [-4.112, -1.603, 1.935]],
  "species": ["Pd", "Cl", "Pd", "Na", "Pd"],
  "frac_coords": [[0.000, 0.000, 0.500], [0.500, 0.500, 0.500], [0.000, 0.500, 0.000], [0.000, 0.000, 0.000], [0.500, 0.000, 0.000]]
}

=====

{
  "formula": "NaPd2Cl8",
  "functional": "PBE-GGA",
  "state": "relaxed",
  "m_tot_mub_per_cell": 0.00,
  "final_energy_ev_per_atom": -2.767,
  "raw_formation_energy_ev_per_fu": -3.96,
  "lattice": [[7.514, 0.541, 0.463], [1.835, 6.727, -0.019], [1.835, 1.024, 6.648]],
  "species": ["Cl", "Pd", "Pd", "Cl", "Na", "Cl", "Cl", "Cl", "Cl", "Cl", "Cl"],
  "frac_coords": [[0.626, 0.239, 0.239], [0.619, 0.832, 0.832], [0.381, 0.168, 0.168], [0.220, 0.924, 0.279], [0.000, 0.000, 0.000], [0.780, 0.076, 0.721], [0.159, 0.407, 0.407], [0.374, 0.761, 0.761], [0.841, 0.593, 0.593], [0.780, 0.721, 0.076], [0.220, 0.279, 0.924]]
}

=====

{
  "formula": "NaPdCl2",
  "functional": "PBE-GGA",
  "state": "relaxed",
  "relative_energy_mev_per_atom": 165.8,
  "m_tot_mub_per_cell": 1.00,
  "final_energy_ev_per_atom": -3.167,
  "raw_formation_energy_ev_per_fu": -2.46,
  "lattice": [[0.000, 3.382, 3.382], [3.382, 0.000, 3.382], [3.382, 3.382, 0.000]],
  "species": ["Na", "Cl", "Cl", "Pd"],
  "frac_coords": [[0.000, 0.000, 0.000], [0.750, 0.750, 0.750], [0.250, 0.250, 0.250], [0.500, 0.500, 0.500]]
}

=====

{
  "formula": "Na2Pd2Cl5",
  "functional": "PBE-GGA",
  "state": "relaxed",
  "m_tot_mub_per_cell": 0.00,
  "final_energy_ev_per_atom": -3.398,
  "raw_formation_energy_ev_per_fu": -8.33,
  "lattice": [[4.643, 0.000, -1.009], [-0.354, 6.315, -1.628], [-0.694, -1.438, 7.992]],
  "species": ["Cl", "Cl", "Cl", "Na", "Cl", "Pd", "Cl", "Na", "Pd"],
  "frac_coords": [[0.399, 0.185, 0.799], [0.178, 0.559, 0.355], [0.822, 0.441, 0.645], [0.380, 0.706, 0.761], [0.601, 0.815, 0.201], [0.082, 0.758, 0.164], [0.000, 0.000, 0.000], [0.620, 0.294, 0.239], [0.918, 0.242, 0.836]]
}

=====

{
  "formula": "NaPuPdCl6",
  "functional": "PBE-GGA",
  "state": "relaxed",
  "m_tot_mub_per_cell": 6.00,
  "final_energy_ev_per_atom": -4.905,
  "raw_formation_energy_ev_per_fu": -12.22,
  "lattice": [[-2.052, 2.662, -5.634], [5.406, -3.715, 0.095], [-7.249, -10.609, -2.372]],
  "species": ["Pu", "Cl", "Cl", "Cl", "Na", "Pd", "Cl", "Cl", "Cl", "Cl", "Cl", "Cl", "Cl", "Cl", "Na", "Pd", "Cl", "Pu"],
  "frac_coords": [[0.667, 0.333, 0.250], [0.353, 0.345, 0.868], [0.008, 0.655, 0.368], [0.992, 0.345, 0.632], [0.000, 0.000, 0.500], [0.667, 0.333, 0.750], [0.008, 0.353, 0.132], [0.992, 0.647, 0.868], [0.655, 0.008, 0.868], [0.647, 0.655, 0.132], [0.655, 0.647, 0.632], [0.353, 0.008, 0.632], [0.345, 0.992, 0.132], [0.345, 0.353, 0.368], [0.000, 0.000, 0.000], [0.333, 0.667, 0.250], [0.647, 0.992, 0.368], [0.333, 0.667, 0.750]]
}

=====

{
  "formula": "Rb2NaPdCl6",
  "functional": "PBE-GGA",
  "state": "relaxed",
  "m_tot_mub_per_cell": 2.07,
  "final_energy_ev_per_atom": -3.257,
  "raw_formation_energy_ev_per_fu": -13.04,
  "lattice": [[7.217, 0.000, 0.000], [3.609, 6.250, 0.000], [3.609, 2.083, 12.814]],
  "species": ["Na", "Cl", "Cl", "Rb", "Cl", "Pd", "Rb", "Rb", "Cl", "Cl", "Na", "Cl", "Cl", "Cl", "Cl", "Cl", "Cl", "Rb", "Cl", "Pd"],
  "frac_coords": [[0.586, 0.586, 0.242], [0.720, 0.196, 0.888], [0.196, 0.196, 0.888], [0.699, 0.699, 0.902], [0.376, 0.376, 0.392], [0.500, 0.500, 0.500], [0.872, 0.872, 0.383], [0.128, 0.128, 0.617], [0.624, 0.144, 0.608], [0.804, 0.804, 0.112], [0.414, 0.414, 0.758], [0.624, 0.624, 0.608], [0.280, 0.804, 0.112], [0.856, 0.376, 0.392], [0.196, 0.720, 0.888], [0.376, 0.856, 0.392], [0.804, 0.280, 0.112], [0.301, 0.301, 0.098], [0.144, 0.624, 0.608], [0.000, 0.000, 0.000]]
}

=====

{
  "formula": "RbNaPdCl6",
  "functional": "PBE-GGA",
  "state": "relaxed",
  "m_tot_mub_per_cell": 0.00,
  "final_energy_ev_per_atom": -3.111,
  "raw_formation_energy_ev_per_fu": -9.44,
  "lattice": [[6.894, 0.004, 0.002], [3.450, 5.968, -0.002], [0.002, -0.003, 7.028]],
  "species": ["Na", "Cl", "Cl", "Cl", "Rb", "Cl", "Pd", "Cl", "Cl"],
  "frac_coords": [[0.666, 0.666, 0.500], [0.344, 0.606, 0.305], [0.606, 0.344, 0.695], [0.050, 0.607, 0.694], [0.000, 0.000, 0.000], [0.343, 0.051, 0.695], [0.333, 0.333, 0.500], [0.051, 0.343, 0.305], [0.607, 0.050, 0.306]]
}

=====

{
  "formula": "Rb3NaPd2Cl9",
  "functional": "PBE-GGA",
  "state": "relaxed",
  "m_tot_mub_per_cell": 0.00,
  "final_energy_ev_per_atom": -3.301,
  "raw_formation_energy_ev_per_fu": -18.29,
  "lattice": [[7.218, 0.000, 0.000], [-3.609, 6.251, 0.000], [0.000, 0.000, 8.888]],
  "species": ["Cl", "Cl", "Pd", "Cl", "Cl", "Cl", "Rb", "Rb", "Na", "Cl", "Cl", "Rb", "Cl", "Cl", "Pd"],
  "frac_coords": [[0.500, 0.000, 0.000], [0.653, 0.826, 0.313], [0.333, 0.667, 0.156], [0.174, 0.347, 0.313], [0.347, 0.174, 0.687], [0.500, 0.500, 0.000], [0.333, 0.667, 0.659], [0.667, 0.333, 0.341], [0.000, 0.000, 0.500], [0.174, 0.826, 0.313], [0.000, 0.500, 0.000], [0.000, 0.000, 0.000], [0.826, 0.174, 0.687], [0.826, 0.653, 0.687], [0.667, 0.333, 0.844]]
}

=====

{
  "formula": "NaPdSCl2",
  "functional": "PBE-GGA",
  "state": "relaxed",
  "relative_energy_mev_per_atom": 917.4,
  "m_tot_mub_per_cell": 3.02,
  "final_energy_ev_per_atom": -2.503,
  "raw_formation_energy_ev_per_fu": 1.82,
  "lattice": [[-3.399, 0.980, -3.539], [3.381, -1.047, -3.537], [-1.486, -4.971, 0.051]],
  "species": ["Cl", "Cl", "Na", "S", "Pd"],
  "frac_coords": [[0.500, 0.000, 0.000], [0.000, 0.500, 0.000], [0.000, 0.000, 0.000], [0.000, 0.000, 0.500], [0.500, 0.500, 0.500]]
}

=====

{
  "formula": "NaPdS2Cl",
  "functional": "PBE-GGA",
  "state": "relaxed",
  "relative_energy_mev_per_atom": 1007.2,
  "m_tot_mub_per_cell": 3.89,
  "final_energy_ev_per_atom": -2.551,
  "raw_formation_energy_ev_per_fu": 3.86,
  "lattice": [[-3.094, 0.538, -3.984], [1.709, -4.374, -1.918], [-3.517, -2.428, 2.404]],
  "species": ["S", "S", "Na", "Pd", "Cl"],
  "frac_coords": [[0.000, 0.500, 0.000], [0.500, 0.000, 0.000], [0.000, 0.000, 0.000], [0.500, 0.500, 0.500], [0.000, 0.000, 0.500]]
}

=====

{
  "formula": "NaPdSCl2",
  "functional": "PBE-GGA",
  "state": "relaxed",
  "relative_energy_mev_per_atom": 0.0,
  "m_tot_mub_per_cell": 1.01,
  "final_energy_ev_per_atom": -3.420,
  "raw_formation_energy_ev_per_fu": -2.77,
  "lattice": [[-1.586, 2.605, -4.039], [-4.048, -3.017, -0.356], [-2.366, 2.848, 2.767]],
  "species": ["Cl", "Cl", "Na", "S", "Pd"],
  "frac_coords": [[0.500, 0.000, 0.000], [0.000, 0.500, 0.000], [0.500, 0.500, 0.500], [0.000, 0.000, 0.500], [0.000, 0.000, 0.000]]
}

=====

{
  "formula": "NaPdS2Cl",
  "functional": "PBE-GGA",
  "state": "relaxed",
  "relative_energy_mev_per_atom": 0.0,
  "m_tot_mub_per_cell": 1.50,
  "final_energy_ev_per_atom": -3.558,
  "raw_formation_energy_ev_per_fu": -1.18,
  "lattice": [[-3.291, -0.645, -3.282], [3.343, -0.797, -3.195], [-0.132, -5.120, 1.139]],
  "species": ["S", "Na", "S", "Cl", "Pd"],
  "frac_coords": [[0.000, 0.500, 0.000], [0.500, 0.500, 0.500], [0.500, 0.000, 0.000], [0.000, 0.000, 0.500], [0.000, 0.000, 0.000]]
}

=====

{
  "formula": "NaSrPdCl2",
  "functional": "PBE-GGA",
  "state": "relaxed",
  "m_tot_mub_per_cell": 0.00,
  "final_energy_ev_per_atom": -3.325,
  "raw_formation_energy_ev_per_fu": -4.74,
  "lattice": [[5.611, 0.000, 0.000], [0.000, 5.618, 0.000], [0.000, 0.000, 5.611]],
  "species": ["Sr", "Na", "Cl", "Pd", "Cl"],
  "frac_coords": [[0.000, 0.000, 0.000], [0.500, 0.500, 0.500], [0.000, 0.000, 0.500], [0.000, 0.500, 0.000], [0.500, 0.000, 0.000]]
}

=====

{
  "formula": "Na2TaPdCl",
  "functional": "PBE-GGA",
  "state": "relaxed",
  "m_tot_mub_per_cell": 2.12,
  "final_energy_ev_per_atom": -3.795,
  "raw_formation_energy_ev_per_fu": 2.56,
  "lattice": [[5.499, 0.000, 0.000], [0.000, 4.864, 0.000], [0.000, 0.000, 5.499]],
  "species": ["Ta", "Na", "Na", "Pd", "Cl"],
  "frac_coords": [[0.000, 0.500, 0.000], [0.000, 0.000, 0.500], [0.500, 0.000, 0.000], [0.000, 0.000, 0.000], [0.500, 0.500, 0.500]]
}

=====

{
  "formula": "Na3Tl3PdCl8",
  "functional": "PBE-GGA",
  "state": "relaxed",
  "m_tot_mub_per_cell": 0.01,
  "final_energy_ev_per_atom": -3.257,
  "raw_formation_energy_ev_per_fu": -17.83,
  "lattice": [[8.033, 0.000, 0.000], [-4.017, 7.390, 0.004], [0.000, -4.848, 7.328]],
  "species": ["Cl", "Cl", "Na", "Cl", "Pd", "Tl", "Na", "Cl", "Tl", "Na", "Cl", "Cl", "Cl", "Cl", "Tl"],
  "frac_coords": [[0.265, 0.529, 0.291], [0.805, 0.026, 0.326], [0.000, 0.500, 0.500], [0.735, 0.471, 0.709], [0.000, 0.000, 0.500], [0.500, 0.500, 0.000], [0.500, 0.500, 0.500], [0.294, 0.588, 0.763], [0.000, 0.500, 0.000], [0.500, 0.000, 0.500], [0.195, 0.974, 0.674], [0.221, 0.026, 0.326], [0.779, 0.974, 0.674], [0.706, 0.412, 0.237], [0.000, 0.000, 0.000]]
}

=====

{
  "formula": "NaTlPdCl6",
  "functional": "PBE-GGA",
  "state": "relaxed",
  "m_tot_mub_per_cell": 4.00,
  "final_energy_ev_per_atom": -3.019,
  "raw_formation_energy_ev_per_fu": -7.21,
  "lattice": [[-2.287, -5.709, -2.561], [2.334, 0.154, 6.238], [-11.403, 2.683, 4.200]],
  "species": ["Cl", "Cl", "Cl", "Tl", "Cl", "Cl", "Na", "Pd", "Na", "Cl", "Cl", "Cl", "Cl", "Cl", "Cl", "Cl", "Pd", "Tl"],
  "frac_coords": [[0.351, 0.987, 0.133], [0.364, 0.013, 0.633], [0.987, 0.351, 0.633], [0.667, 0.333, 0.250], [0.649, 0.636, 0.633], [0.364, 0.351, 0.867], [0.000, 0.000, 0.500], [0.667, 0.333, 0.750], [0.000, 0.000, 0.000], [0.351, 0.364, 0.367], [0.636, 0.649, 0.133], [0.987, 0.636, 0.867], [0.013, 0.364, 0.133], [0.636, 0.987, 0.367], [0.649, 0.013, 0.867], [0.013, 0.649, 0.367], [0.333, 0.667, 0.250], [0.333, 0.667, 0.750]]
}

=====

{
  "formula": "Na2ZnPdCl6",
  "functional": "PBE-GGA",
  "state": "relaxed",
  "m_tot_mub_per_cell": 0.11,
  "final_energy_ev_per_atom": -3.180,
  "raw_formation_energy_ev_per_fu": -11.62,
  "lattice": [[7.124, 0.056, -0.325], [3.629, 5.518, 0.023], [3.362, 2.051, 6.587]],
  "species": ["Cl", "Na", "Na", "Cl", "Pd", "Cl", "Cl", "Cl", "Cl", "Zn"],
  "frac_coords": [[0.920, 0.609, 0.274], [0.984, 0.048, 0.927], [0.475, 0.537, 0.499], [0.754, 0.036, 0.699], [0.844, 0.822, 0.487], [0.089, 0.446, 0.684], [0.285, 0.988, 0.185], [0.620, 0.218, 0.267], [0.388, 0.623, 0.853], [0.302, 0.335, 0.138]]
}

=====

{
  "formula": "NaPmCl",
  "functional": "PBE-GGA",
  "state": "relaxed",
  "m_tot_mub_per_cell": 2.03,
  "final_energy_ev_per_atom": -3.480,
  "raw_formation_energy_ev_per_fu": -2.52,
  "lattice": [[-3.563, -1.066, -0.696], [-0.969, -1.223, -3.446], [0.662, -17.197, 1.607]],
  "species": ["Pm", "Cl", "Cl", "Na", "Pm", "Na"],
  "frac_coords": [[0.069, 0.069, 0.874], [0.276, 0.276, 0.542], [0.477, 0.477, 0.765], [0.479, 0.479, 0.250], [0.684, 0.684, 0.434], [0.275, 0.275, 0.058]]
}

=====

{
  "formula": "NaPm2Cl6",
  "functional": "PBE-GGA",
  "state": "relaxed",
  "relative_energy_mev_per_atom": 9.0,
  "m_tot_mub_per_cell": 0.92,
  "final_energy_ev_per_atom": -4.469,
  "raw_formation_energy_ev_per_fu": -18.32,
  "lattice": [[6.526, 0.000, 0.000], [0.000, 5.998, -3.463], [0.000, 0.000, 6.926]],
  "species": ["Cl", "Cl", "Cl", "Cl", "Pm", "Cl", "Cl", "Pm", "Na"],
  "frac_coords": [[0.742, 0.661, 0.661], [0.258, 0.339, 0.339], [0.742, 0.000, 0.339], [0.742, 0.339, 0.000], [0.500, 0.667, 0.333], [0.258, 0.661, 0.000], [0.258, 0.000, 0.661], [0.500, 0.333, 0.667], [0.000, 0.000, 0.000]]
}

=====

{
  "formula": "NaPmCl4",
  "functional": "PBE-GGA",
  "state": "relaxed",
  "relative_energy_mev_per_atom": 0.0,
  "m_tot_mub_per_cell": 0.00,
  "final_energy_ev_per_atom": -4.353,
  "raw_formation_energy_ev_per_fu": -12.66,
  "lattice": [[6.859, 0.030, 0.000], [-1.183, 6.855, 0.000], [-2.838, -3.443, 6.616]],
  "species": ["Cl", "Pm", "Cl", "Cl", "Cl", "Pm", "Cl", "Cl", "Na", "Na", "Cl", "Cl"],
  "frac_coords": [[0.254, 0.145, 0.585], [0.880, 0.130, 0.261], [0.509, 0.250, 0.074], [0.831, 0.440, 0.585], [0.491, 0.750, 0.926], [0.120, 0.870, 0.739], [0.064, 0.824, 0.074], [0.169, 0.560, 0.415], [0.325, 0.575, 0.149], [0.675, 0.425, 0.851], [0.746, 0.855, 0.415], [0.936, 0.176, 0.926]]
}